Below is a geometry-optimized Sr2Mg3Hg4 structure, with properties calculated at the PBE level.

Computed properties:
**Calculated formation energy**: -3.32 eV per formula unit
**Uncorrected energy**: -1.41 eV/atom

Geometry as POSCAR:
```
Sr2Mg3Hg4
1.0
-4.1957 4.6920 1.5868
-6.0208 -5.9956 1.8084
4.8296 -2.6444 7.3123
Sr Mg Hg
4 6 8
Cartesian
-2.9328 -3.5893 2.8586
-2.4542 -0.3587 7.8489
1.5989 -0.7577 6.4682
-6.9858 -3.1904 4.2393
0.0000 0.0000 0.0000
-5.1083 -0.6518 1.6976
-4.0302 -3.4913 6.3059
-3.4546 1.8893 5.1950
-1.3568 -0.4567 4.4016
-1.9323 -5.8373 5.5125
-3.1091 -3.5919 9.0387
-4.3756 1.9899 2.4622
-2.2778 -0.3561 1.6688
-1.0113 -5.9379 8.2453
-4.8080 -5.8882 4.6978
-0.5789 1.9402 6.0097
-1.0573 -2.9713 5.9901
-4.3296 -0.9768 4.7174
```